1.
Compound: LiSbPO2
Source: Alexandria
Functional: PBE
Structure: relaxed

Summary:
- calculated density (Mg/m³) = 3.82
- energy relative to the lowest polymorph listed for this composition (kJ/mol of formula units) = 0
- magnetic moment (μB per formula unit) = 0.283
- N(E_F) (states/eV/cell) = 2.56
- volume (A^3/atom) = 16.6
- raw formation energy (eV per atom) = -0.48

abc: 3.9337 3.9337 5.3791
angles: 90.00 90.00 90.00
Last column: nearest neighbours and their distance in Å.
Positions (direct):
O 0.5000 0.0000 0.0000  2 Sb 1.97
O 0.0000 0.5000 0.0000  2 Sb 1.97
Li 0.5000 0.5000 0.5000  4 P 2.78
P 0.0000 0.0000 0.5000  2 Sb 2.69, 4 Li 2.78
Sb 0.0000 0.0000 0.0000  4 O 1.97

2.
Compound: Li5Sb2P5O18
Source: Alexandria
Functional: PBE
Structure: relaxed

Summary:
- calculated density (Mg/m³) = 3.34
- magnetic moment (μB per formula unit) = 0.000
- N(E_F) (states/eV/cell) = 0.00
- volume (A^3/atom) = 12.0
- raw formation energy (eV per atom) = -2.13

abc: 6.8615 9.5264 11.0926
angles: 81.87 89.76 88.60
Last column: nearest neighbours and their distance in Å.
Positions (direct):
O 0.9311 0.4172 0.8844  2 P 1.61-1.65
O 0.2591 0.7575 0.2212  1 P 1.53
O 0.6221 0.5670 0.2009  1 P 1.56
O 0.4797 0.3630 0.5882  1 P 1.59
O 0.9541 0.9764 0.6858  1 P 1.53
O 0.8541 0.6869 0.3334  1 P 1.53
O 0.3733 0.0915 0.1124  1 P 1.55
O 0.7060 0.6103 0.9334  1 P 1.57
O 0.6267 0.9085 0.8876  1 P 1.55
O 0.7409 0.2425 0.7788  1 P 1.53
O 0.7544 0.5796 0.7108  1 P 1.53
O 0.2456 0.4204 0.2892  1 P 1.53
O 0.9677 0.1555 0.9576  1 P 1.52
O 0.1459 0.3131 0.6666  1 P 1.53
O 0.7049 0.9844 0.1890  1 P 1.52
O 0.5780 0.2093 0.2651  1 P 1.53
O 0.4220 0.7907 0.7349  1 P 1.53
O 0.2510 0.5731 0.6082  1 P 1.56
O 0.0378 0.6680 0.8267  1 P 1.51
O 0.2951 0.0156 0.8110  1 P 1.52
O 0.2059 0.8370 0.4742  1 P 1.58
O 0.0459 0.0236 0.3142  1 P 1.53
O 0.0689 0.5828 0.1156  2 P 1.61-1.65
O 0.3779 0.4330 0.7991  1 P 1.56
O 0.2940 0.3897 0.0666  1 P 1.57
O 0.2554 0.1038 0.4802  1 P 1.52
O 0.0323 0.8445 0.0424  1 P 1.52
O 0.5203 0.6370 0.4118  1 P 1.59
O 0.5812 0.0277 0.6750  2 P 1.61
O 0.3558 0.7141 0.0104  1 P 1.57
O 0.7490 0.4269 0.3918  1 P 1.56
O 0.7941 0.1630 0.5258  1 P 1.58
O 0.4188 0.9723 0.3250  2 P 1.61
O 0.9622 0.3320 0.1733  1 P 1.51
O 0.6442 0.2859 0.9896  1 P 1.57
O 0.7446 0.8962 0.5198  1 P 1.52
Li 0.8587 0.2247 0.3355  5 O 2.07-2.32
Li 0.1799 0.1139 0.6489  4 O 1.94-2.06
Li 0.3297 0.6232 0.8529  4 O 2.01-2.07
Li 0.6703 0.3768 0.1471  4 O 2.01-2.07
Li 0.5876 0.7244 0.5972  3 O 2.06
Li 0.0193 0.9688 0.8683  4 O 2.03-2.18
Li 0.9807 0.0312 0.1317  4 O 2.03-2.18
Li 0.4124 0.2756 0.4028  3 O 2.06
Li 0.1413 0.7753 0.6645  5 O 2.07-2.32
Li 0.8201 0.8861 0.3511  4 O 1.94-2.06
P 0.8565 0.5806 0.8328  4 O 1.51-1.65
P 0.5260 0.0720 0.2166  4 O 1.52-1.61
P 0.3090 0.4199 0.6674  4 O 1.53-1.59
P 0.1797 0.7318 0.0975  4 O 1.52-1.61
P 0.1435 0.4194 0.1672  4 O 1.51-1.65
P 0.4740 0.9280 0.7834  4 O 1.52-1.61
P 0.2197 0.9906 0.4000  4 O 1.52-1.61
P 0.7803 0.0094 0.6000  4 O 1.52-1.61
P 0.8203 0.2682 0.9025  4 O 1.52-1.61
P 0.6910 0.5801 0.3326  4 O 1.53-1.59
Sb 0.3479 0.2430 0.9493  4 O 2.07-2.29
Sb 0.2157 0.6366 0.4001  4 O 2.09-2.31
Sb 0.7843 0.3634 0.5999  4 O 2.09-2.31
Sb 0.6521 0.7570 0.0507  4 O 2.07-2.29

3.
Compound: LiSbP4O12
Source: Alexandria
Functional: PBE
Structure: relaxed

Summary:
- calculated density (Mg/m³) = 3.14
- energy relative to the lowest polymorph listed for this composition (kJ/mol of formula units) = 0
- magnetic moment (μB per formula unit) = 0.000
- N(E_F) (states/eV/cell) = 0.00
- volume (A^3/atom) = 13.1
- raw formation energy (eV per atom) = -2.05

abc: 8.9534 8.9534 9.8558
angles: 57.83 57.83 46.92
Last column: nearest neighbours and their distance in Å.
Positions (direct):
P 0.4193 0.3018 0.1214  4 O 1.50-1.63
P 0.7066 0.0062 0.6896  4 O 1.50-1.60
P 0.0062 0.7066 0.1896  4 O 1.50-1.60
P 0.2934 0.9938 0.3104  4 O 1.50-1.60
P 0.9938 0.2934 0.8104  4 O 1.50-1.60
P 0.5807 0.6982 0.8786  4 O 1.50-1.63
P 0.3018 0.4193 0.6214  4 O 1.50-1.63
P 0.6982 0.5807 0.3786  4 O 1.50-1.63
O 0.6749 0.8254 0.8393  2 P 1.59-1.63
O 0.5957 0.1591 0.2015  1 P 1.50
O 0.5929 0.5460 0.5618  1 P 1.50
O 0.8436 0.0198 0.7237  1 P 1.52
O 0.3251 0.1746 0.1607  2 P 1.59-1.63
O 0.1591 0.5957 0.7015  1 P 1.50
O 0.1564 0.9802 0.2763  1 P 1.52
O 0.5238 0.7816 0.2746  2 P 1.60-1.62
O 0.2278 0.0171 0.4772  1 P 1.50
O 0.4540 0.4071 0.9382  1 P 1.50
O 0.7722 0.9829 0.5228  1 P 1.50
O 0.5460 0.5929 0.0618  1 P 1.50
O 0.9829 0.7722 0.0228  1 P 1.50
O 0.0198 0.8436 0.2237  1 P 1.52
O 0.9802 0.1564 0.7763  1 P 1.52
O 0.4071 0.4540 0.4382  1 P 1.50
O 0.0171 0.2278 0.9772  1 P 1.50
O 0.4762 0.2184 0.7254  2 P 1.60-1.62
O 0.8409 0.4043 0.2985  1 P 1.50
O 0.7816 0.5238 0.7746  2 P 1.60-1.62
O 0.1746 0.3251 0.6607  2 P 1.59-1.63
O 0.4043 0.8409 0.7985  1 P 1.50
O 0.8254 0.6749 0.3393  2 P 1.59-1.63
O 0.2184 0.4762 0.2254  2 P 1.60-1.62
Sb 0.8296 0.1704 0.2500  6 O 2.25-2.46
Sb 0.1704 0.8296 0.7500  6 O 2.25-2.46
Li 0.3096 0.6904 0.2500  4 O 1.92-2.04
Li 0.6904 0.3096 0.7500  4 O 1.92-2.04

4.
Compound: LiSbPO5
Source: Alexandria
Functional: PBE
Structure: relaxed

Summary:
- calculated density (Mg/m³) = 3.91
- energy relative to the lowest polymorph listed for this composition (kJ/mol of formula units) = 0
- magnetic moment (μB per formula unit) = 0.000
- N(E_F) (states/eV/cell) = 0.00
- volume (A^3/atom) = 12.7
- raw formation energy (eV per atom) = -1.90

abc: 8.4129 10.2618 10.6942
angles: 79.82 71.05 69.15
Last column: nearest neighbours and their distance in Å.
Positions (direct):
P 0.6717 0.0638 0.3045  4 O 1.55-1.56
P 0.3942 0.8241 0.0531  4 O 1.53-1.57
P 0.8575 0.4232 0.2075  4 O 1.53-1.59
P 0.1113 0.5789 0.8176  4 O 1.52-1.60
P 0.9111 0.3029 0.5825  4 O 1.54-1.59
P 0.1365 0.6812 0.4219  4 O 1.51-1.59
P 0.5808 0.1802 0.9537  4 O 1.54-1.57
P 0.3265 0.9543 0.6737  4 O 1.52-1.59
O 0.3086 0.5511 0.4085  1 P 1.57
O 0.9468 0.7899 0.0805  1 Sb 1.89, 1 Li 1.90
O 0.8215 0.4658 0.0689  1 P 1.56
O 0.6815 0.4248 0.3117  1 P 1.53
O 0.9251 0.5372 0.2375  1 P 1.59
O 0.1320 0.9686 0.7399  1 P 1.52
O 0.4705 0.2994 0.5742  1 Sb 1.93, 1 Li 1.98
O 0.0682 0.4454 0.7986  1 P 1.60
O 0.5557 0.7005 0.4237  1 Sb 1.93, 1 Li 2.08
O 0.7918 0.4474 0.5451  1 P 1.54
O 0.7113 0.0464 0.4406  1 P 1.56
O 0.9737 0.6580 0.5227  1 P 1.51
O 0.6746 0.5416 0.8577  1 Sb 1.92, 1 Li 1.96
O 0.1756 0.8096 0.4561  1 P 1.59
O 0.6345 0.3032 0.9791  1 P 1.57
O 0.9006 0.2822 0.7329  1 P 1.56
O 0.6172 0.9424 0.2808  1 P 1.56
O 0.4508 0.7871 0.1847  1 P 1.57
O 0.5262 0.2056 0.2897  1 P 1.55
O 0.5688 0.8222 0.9412  1 P 1.56
O 0.7245 0.0390 0.9707  1 P 1.55
O 0.8532 0.0594 0.2024  1 P 1.55
O 0.7548 0.9423 0.6891  1 Sb 1.92, 1 Li 2.01
O 0.1836 0.5430 0.9426  1 P 1.58
O 0.3760 0.0792 0.7026  1 P 1.59
O 0.0033 0.2785 0.2093  1 P 1.56
O 0.2406 0.0465 0.3058  2 Sb 1.96-2.09, 1 Li 2.05
O 0.5549 0.2071 0.8127  1 P 1.56
O 0.2546 0.6033 0.6946  1 P 1.52
O 0.3097 0.4651 0.1538  1 Sb 1.91, 2 Li 1.96-2.10
O 0.2478 0.9654 0.0536  1 P 1.53
O 0.8512 0.1838 0.5529  1 P 1.59
O 0.0958 0.7237 0.2847  1 P 1.57
O 0.1080 0.2783 0.5075  1 P 1.54
O 0.3322 0.7079 0.0266  1 P 1.56
O 0.9422 0.7088 0.8363  1 P 1.55
O 0.4461 0.8133 0.7201  1 P 1.54
O 0.3998 0.1879 0.0559  1 P 1.54
O 0.3640 0.9698 0.5202  1 P 1.56
O 0.0076 0.2042 0.9550  1 Li 1.91, 1 Sb 1.92
Li 0.9740 0.0925 0.3332  3 O 2.05-2.17
Li 0.1902 0.1702 0.0373  3 O 1.91-1.97
Li 0.2284 0.2833 0.6422  3 O 1.98-2.13
Li 0.4550 0.4998 0.9574  4 O 1.96-2.16
Li 0.8189 0.6207 0.4286  4 O 2.02-2.14
Li 0.0159 0.8732 0.6707  2 O 1.97-2.01
Li 0.7686 0.8194 0.9960  3 O 1.90-2.06
Li 0.4779 0.4337 0.2557  3 O 1.96-2.03
Sb 0.1213 0.6281 0.1255  6 O 1.89-2.12
Sb 0.7015 0.7393 0.7488  4 O 2.11-2.23
Sb 0.2610 0.2474 0.2725  3 O 2.09-2.31
Sb 0.4026 0.8715 0.3612  6 O 1.93-2.11
Sb 0.9899 0.9964 0.9964  5 O 2.15-2.34
Sb 0.6213 0.1243 0.6317  6 O 1.92-2.14
Sb 0.8535 0.3765 0.8982  6 O 1.92-2.10
Sb 0.4996 0.5091 0.5220  6 O 2.19-2.40

5.
Compound: Li3Sb5P6O24
Source: Alexandria
Functional: PBE
Structure: relaxed

Summary:
- calculated density (Mg/m³) = 3.84
- magnetic moment (μB per formula unit) = 0.000
- N(E_F) (states/eV/cell) = 0.00
- volume (A^3/atom) = 13.7
- raw formation energy (eV per atom) = -1.98

abc: 8.6375 8.7782 8.7864
angles: 108.57 109.05 109.76
Last column: nearest neighbours and their distance in Å.
Positions (direct):
O 0.3561 0.1887 0.4371  1 P 1.54
O 0.4320 0.7589 0.5620  1 P 1.56
O 0.1024 0.6912 0.3636  1 P 1.59
O 0.2396 0.3124 0.6570  1 P 1.53
O 0.1493 0.5855 0.8620  1 P 1.55
O 0.0736 0.2553 0.9033  1 P 1.57
O 0.2872 0.6259 0.2173  1 P 1.57
O 0.4260 0.3601 0.2000  1 P 1.53
O 0.1633 0.8073 0.7370  1 P 1.57
O 0.6560 0.2468 0.3203  1 P 1.57
O 0.5802 0.4038 0.7727  1 P 1.59
O 0.2748 0.9299 0.0753  1 P 1.55
O 0.3369 0.0718 0.6648  1 P 1.56
O 0.7360 0.1664 0.8180  1 P 1.54
O 0.7765 0.5835 0.4214  1 P 1.56
O 0.9276 0.7123 0.8534  1 P 1.55
O 0.6545 0.8281 0.9056  1 P 1.59
O 0.7784 0.7083 0.1254  1 P 1.56
O 0.6589 0.3476 0.0879  1 P 1.57
O 0.8313 0.9272 0.6943  1 P 1.59
O 0.5928 0.8660 0.1670  1 P 1.57
O 0.1596 0.4243 0.3539  1 P 1.50
O 0.9317 0.0536 0.2311  1 P 1.51
O 0.8372 0.1541 0.5725  1 P 1.53
Sb 0.8171 0.4815 0.9966  3 O 2.02-2.15
Sb 0.3132 0.4857 0.9909  3 O 2.03-2.12
Sb 0.5075 0.0193 0.3307  3 O 2.03-2.14
Sb 0.6554 0.6846 0.6717  4 O 2.04-2.26
Sb 0.0337 0.8487 0.5247  4 O 2.03-2.26
P 0.2467 0.6157 0.3766  4 O 1.50-1.59
P 0.6246 0.3874 0.2576  4 O 1.53-1.57
P 0.7504 0.8719 0.1135  4 O 1.51-1.59
P 0.3717 0.2401 0.6281  4 O 1.53-1.59
P 0.8648 0.1299 0.7426  4 O 1.53-1.59
P 0.1287 0.7588 0.8845  4 O 1.55-1.57
Li 0.1909 0.2127 0.2394  3 O 1.96-2.16
Li 0.4997 0.9843 0.7804  3 O 1.96-2.00
Li 0.0115 0.2703 0.4599  4 O 1.97-2.20

Question: What is the volume in the fifth record?
Answer: 13.7 A^3/atom